1.
Compound: MoAuSe2
Source: the Alexandria database
Functional: SCAN
Structure: PBEsol geometry

Calculated values
ΔE to the lowest computed polymorph in eV/atom: 0.075
D(E_F) in states/eV per atom: 0.63
Calculated total energy in eV/atom: -35.90
ΔE_f (raw) in eV/atom: 0.15
M_tot in μB per cell: 0.0

Cell: 3.0660 3.9002 6.7353 Å, 106.83 103.16 90.00°
Element x y z (fractional)
Mo (0.2805, 0.7805, 0.5610)
Se (0.9364, 0.9364, 0.8728)
Au (0.5651, 0.5651, 0.1303)
Se (0.7179, 0.2179, 0.4358)

2.
Compound: Sc3Sb
Source: the Alexandria database
Functional: SCAN
Structure: PBEsol geometry

Calculated values
ΔE to the lowest computed polymorph in eV/atom: 0.001
D(E_F) in states/eV per atom: 0.97
Calculated total energy in eV/atom: -20.54
ΔE_f (raw) in eV/atom: -0.55
M_tot in μB per cell: 0.0

Cell: 5.9626 6.9311 9.0651 Å, 90.00 90.00 90.00°
Element x y z (fractional)
Sc (0.8804, 0.6985, 0.5361)
Sb (0.3971, 0.1144, 0.2500)
Sb (0.1029, 0.6144, 0.2500)
Sc (0.1356, 0.0157, 0.7500)
Sc (0.6356, 0.4843, 0.2500)
Sc (0.3804, 0.8015, 0.4639)
Sc (0.6196, 0.1985, 0.5361)
Sc (0.8644, 0.9843, 0.2500)
Sb (0.8971, 0.3856, 0.7500)
Sb (0.6029, 0.8856, 0.7500)
Sc (0.1196, 0.3015, 0.4639)
Sc (0.8804, 0.6985, 0.9639)
Sc (0.1196, 0.3015, 0.0361)
Sc (0.6196, 0.1985, 0.9639)
Sc (0.3804, 0.8015, 0.0361)
Sc (0.3644, 0.5157, 0.7500)

3.
Compound: KHgPb2
Source: the Alexandria database
Functional: SCAN
Structure: PBEsol geometry

Calculated values
D(E_F) in states/eV per atom: 0.62
DFT formation energy in eV per atom: -0.194
Calculated total energy in eV/atom: -57.21
M_tot in μB per cell: 0.0

Cell: 5.4511 5.4982 5.4511 Å, 60.28 90.00 119.72°
Element x y z (fractional)
K (0.7500, 0.5000, 0.7500)
Pb (0.0000, 0.0000, 0.0000)
Hg (0.5000, 0.0000, 0.5000)
Pb (0.2500, 0.5000, 0.2500)

4.
Compound: LiVF6
Source: the Alexandria database
Functional: SCAN
Structure: PBEsol geometry

Calculated values
D(E_F) in states/eV per atom: 0.00
Calculated total energy in eV/atom: -8.09
ΔE_f (raw) in eV/atom: -2.95
M_tot in μB per cell: 0.0

Cell: 5.3497 5.2631 8.9635 Å, 90.00 90.00 119.51°
Element x y z (fractional)
F (0.2787, 0.8800, 0.8598)
V (0.8224, 0.4092, 0.4926)
F (0.1753, 0.5816, 0.4288)
F (0.9125, 0.6965, 0.6254)
F (0.7278, 0.6022, 0.3596)
F (0.7213, 0.1200, 0.3598)
F (0.5405, 0.7688, 0.0637)
F (0.9058, 0.2079, 0.6260)
Li (0.8310, 0.9155, 0.2117)
F (0.8247, 0.4184, 0.9288)
F (0.0875, 0.3035, 0.1254)
V (0.1776, 0.5908, 0.9926)
F (0.2722, 0.3978, 0.8596)
F (0.0942, 0.7921, 0.1260)
Li (0.1690, 0.0845, 0.7117)
F (0.4595, 0.2312, 0.5637)

Please write out number 2 again, unchanged.
Compound: Sc3Sb
Source: the Alexandria database
Functional: SCAN
Structure: PBEsol geometry

Calculated values
ΔE to the lowest computed polymorph in eV/atom: 0.001
D(E_F) in states/eV per atom: 0.97
Calculated total energy in eV/atom: -20.54
ΔE_f (raw) in eV/atom: -0.55
M_tot in μB per cell: 0.0

Cell: 5.9626 6.9311 9.0651 Å, 90.00 90.00 90.00°
Element x y z (fractional)
Sc (0.8804, 0.6985, 0.5361)
Sb (0.3971, 0.1144, 0.2500)
Sb (0.1029, 0.6144, 0.2500)
Sc (0.1356, 0.0157, 0.7500)
Sc (0.6356, 0.4843, 0.2500)
Sc (0.3804, 0.8015, 0.4639)
Sc (0.6196, 0.1985, 0.5361)
Sc (0.8644, 0.9843, 0.2500)
Sb (0.8971, 0.3856, 0.7500)
Sb (0.6029, 0.8856, 0.7500)
Sc (0.1196, 0.3015, 0.4639)
Sc (0.8804, 0.6985, 0.9639)
Sc (0.1196, 0.3015, 0.0361)
Sc (0.6196, 0.1985, 0.9639)
Sc (0.3804, 0.8015, 0.0361)
Sc (0.3644, 0.5157, 0.7500)